No. 1
Compound: LiGa8Ir2
Source: Alexandria via LeMat-Bulk
Functional: GGA-PBE
Structure: relaxed

Properties
V in Å³/cell: 400.23
Energy of formation in meV per atom: -230

CIF file:
```
data_LiGa8Ir2
_cell_length_a 11.505
_cell_length_b 7.017
_cell_length_c 5.009
_cell_angle_alpha 90.00
_cell_angle_beta 98.20
_cell_angle_gamma 90.00
_space_group_name_H-M_alt 'C 1 2/m 1'
_space_group_IT_number 12
_space_group_name_Hall '-C 2y'
loop_
_atom_site_label
_atom_site_fract_x
_atom_site_fract_y
_atom_site_fract_z
Li1 0.000 0.000 0.000
Ga1 0.072 0.500 0.839
Ga2 0.104 0.276 0.400
Ga3 0.213 0.000 0.828
Ir1 0.232 0.000 0.331
```


No. 2
Compound: LiGaIr2
Source: Alexandria via LeMat-Bulk
Functional: GGA-PBE
Structure: relaxed

Properties
V in Å³/cell: 55.29
Energy of formation in meV per atom: -305

CIF file:
```
data_LiGaIr2
_cell_length_a 2.802
_cell_length_b 4.088
_cell_length_c 4.826
_cell_angle_alpha 90.00
_cell_angle_beta 90.00
_cell_angle_gamma 90.00
_space_group_name_H-M_alt 'P m m 2'
_space_group_IT_number 25
_space_group_name_Hall 'P 2 -2'
loop_
_atom_site_label
_atom_site_fract_x
_atom_site_fract_y
_atom_site_fract_z
Li1 0.000 0.000 0.000
Ga1 0.500 0.000 0.513
Ir1 0.000 0.500 0.328
Ir2 0.500 0.500 0.851
```


No. 3
Compound: Li8Ga2Ir
Source: Alexandria via LeMat-Bulk
Functional: GGA-PBE
Structure: relaxed

Properties
V in Å³/cell: 414.33
Energy of formation in meV per atom: -88

CIF file:
```
data_Li8Ga2Ir
_cell_length_a 12.588
_cell_length_b 7.217
_cell_length_c 4.651
_cell_angle_alpha 90.00
_cell_angle_beta 101.28
_cell_angle_gamma 90.00
_space_group_name_H-M_alt 'C 1 2/m 1'
_space_group_IT_number 12
_space_group_name_Hall '-C 2y'
loop_
_atom_site_label
_atom_site_fract_x
_atom_site_fract_y
_atom_site_fract_z
Li1 0.063 0.196 0.299
Li2 0.165 0.000 0.847
Li3 0.206 0.500 0.588
Ga1 0.104 0.500 0.026
Ir1 0.000 0.500 0.500
```


No. 4
Compound: LiGa4Ir2
Source: Alexandria via LeMat-Bulk
Functional: GGA-PBE
Structure: relaxed

Properties
V in Å³/cell: 326.94
Energy of formation in meV per atom: -474
Excess energy over the best structure of this formula in the dataset in kcal/mol of atoms: 0.000

CIF file:
```
data_LiGa4Ir2
_cell_length_a 4.2860
_cell_length_b 4.2860
_cell_length_c 20.5515
_cell_angle_alpha 90.00
_cell_angle_beta 90.00
_cell_angle_gamma 120.00
_space_group_name_H-M_alt 'R -3 m'
_space_group_IT_number 166
_space_group_name_Hall '-R 3 2"'
loop_
_atom_site_label
_atom_site_fract_x
_atom_site_fract_y
_atom_site_fract_z
Li1 0.0000 0.0000 0.0000
Ga1 0.0000 0.0000 0.1305
Ga2 0.0000 0.0000 0.3853
Ir1 0.0000 0.0000 0.2546
```


No. 5
Compound: Li2Ga4Ir
Source: Alexandria via LeMat-Bulk
Functional: GGA-PBE
Structure: relaxed

Properties
V in Å³/cell: 304.07
Energy of formation in meV per atom: -102
Excess energy over the best structure of this formula in the dataset in kcal/mol of atoms: 3.240

CIF file:
```
data_Li2Ga4Ir
_cell_length_a 4.740
_cell_length_b 4.740
_cell_length_c 13.531
_cell_angle_alpha 90.00
_cell_angle_beta 90.00
_cell_angle_gamma 90.00
_space_group_name_H-M_alt 'I 4/m m m'
_space_group_IT_number 139
_space_group_name_Hall '-I 4 2'
loop_
_atom_site_label
_atom_site_fract_x
_atom_site_fract_y
_atom_site_fract_z
Li1 0.000 0.000 0.122
Ga1 0.000 0.000 0.312
Ga2 0.000 0.500 0.000
Ir1 0.000 0.000 0.500
```


No. 6
Compound: LiGa2Ir2
Source: Alexandria via LeMat-Bulk
Functional: GGA-PBE
Structure: relaxed

Properties
V in Å³/cell: 178.92
Energy of formation in meV per atom: -194
Excess energy over the best structure of this formula in the dataset in kcal/mol of atoms: 5.978

CIF file:
```
data_LiGa2Ir2
_cell_length_a 4.101
_cell_length_b 4.101
_cell_length_c 10.637
_cell_angle_alpha 90.00
_cell_angle_beta 90.00
_cell_angle_gamma 90.00
_space_group_name_H-M_alt 'I 4/m m m'
_space_group_IT_number 139
_space_group_name_Hall '-I 4 2'
loop_
_atom_site_label
_atom_site_fract_x
_atom_site_fract_y
_atom_site_fract_z
Li1 0.000 0.000 0.000
Ga1 0.000 0.500 0.250
Ir1 0.000 0.000 0.384
```


No. 7
Compound: LiGa2Ir2
Source: Alexandria via LeMat-Bulk
Functional: GGA-PBE
Structure: relaxed

Properties
V in Å³/cell: 173.54
Energy of formation in meV per atom: -227
Excess energy over the best structure of this formula in the dataset in kcal/mol of atoms: 5.228

CIF file:
```
data_LiGa2Ir2
_cell_length_a 3.979
_cell_length_b 3.978
_cell_length_c 10.962
_cell_angle_alpha 90.00
_cell_angle_beta 90.07
_cell_angle_gamma 90.00
_space_group_name_H-M_alt 'P 1 21/m 1'
_space_group_IT_number 11
_space_group_name_Hall '-P 2yb'
loop_
_atom_site_label
_atom_site_fract_x
_atom_site_fract_y
_atom_site_fract_z
Li1 0.249 0.250 0.267
Ga1 0.250 0.750 0.000
Ga2 0.251 0.250 0.641
Ir1 0.250 0.250 0.863
Ir2 0.250 0.750 0.500
```


No. 8
Compound: Li3Ga4Ir
Source: Alexandria via LeMat-Bulk
Functional: GGA-PBE
Structure: relaxed

Properties
V in Å³/cell: 325.09
Energy of formation in meV per atom: -115
Excess energy over the best structure of this formula in the dataset in kcal/mol of atoms: 5.971

CIF file:
```
data_Li3Ga4Ir
_cell_length_a 5.074
_cell_length_b 8.138
_cell_length_c 7.874
_cell_angle_alpha 90.00
_cell_angle_beta 90.00
_cell_angle_gamma 90.00
_space_group_name_H-M_alt 'I m m 2'
_space_group_IT_number 44
_space_group_name_Hall 'I 2 -2'
loop_
_atom_site_label
_atom_site_fract_x
_atom_site_fract_y
_atom_site_fract_z
Li1 0.000 0.000 0.000
Li2 0.000 0.172 0.644
Ga1 0.000 0.289 0.323
Ga2 0.247 0.500 0.846
Ir1 0.000 0.500 0.119
```


No. 9
Compound: LiGa2Ir2
Source: Alexandria via LeMat-Bulk
Functional: GGA-PBE
Structure: relaxed

Properties
V in Å³/cell: 174.35
Energy of formation in meV per atom: -227
Excess energy over the best structure of this formula in the dataset in kcal/mol of atoms: 5.229

CIF file:
```
data_LiGa2Ir2
_cell_length_a 4.037
_cell_length_b 4.037
_cell_length_c 10.700
_cell_angle_alpha 90.00
_cell_angle_beta 90.00
_cell_angle_gamma 90.00
_space_group_name_H-M_alt 'I 4/m m m'
_space_group_IT_number 139
_space_group_name_Hall '-I 4 2'
loop_
_atom_site_label
_atom_site_fract_x
_atom_site_fract_y
_atom_site_fract_z
Li1 0.000 0.000 0.000
Ga1 0.000 0.000 0.385
Ir1 0.000 0.500 0.250
```


No. 10
Compound: Li6Ga2Ir
Source: Alexandria via LeMat-Bulk
Functional: GGA-PBE
Structure: relaxed

Properties
V in Å³/cell: 283.14
Energy of formation in meV per atom: -208
Excess energy over the best structure of this formula in the dataset in kcal/mol of atoms: 1.468

CIF file:
```
data_Li6Ga2Ir
_cell_length_a 7.188
_cell_length_b 13.229
_cell_length_c 3.010
_cell_angle_alpha 90.00
_cell_angle_beta 98.41
_cell_angle_gamma 90.00
_space_group_name_H-M_alt 'C 1 2/m 1'
_space_group_IT_number 12
_space_group_name_Hall '-C 2y'
loop_
_atom_site_label
_atom_site_fract_x
_atom_site_fract_y
_atom_site_fract_z
Li1 0.172 0.168 0.349
Li2 0.197 0.000 0.872
Ga1 0.000 0.343 0.000
Ir1 0.000 0.500 0.500
```


No. 11
Compound: Li2Ga5Ir
Source: Alexandria via LeMat-Bulk
Functional: GGA-PBE
Structure: relaxed

Properties
V in Å³/cell: 513.02
Energy of formation in meV per atom: -231

CIF file:
```
data_Li2Ga5Ir
_cell_length_a 4.577
_cell_length_b 9.068
_cell_length_c 12.362
_cell_angle_alpha 90.00
_cell_angle_beta 90.00
_cell_angle_gamma 90.00
_space_group_name_H-M_alt 'C m c m'
_space_group_IT_number 63
_space_group_name_Hall '-C 2c 2'
loop_
_atom_site_label
_atom_site_fract_x
_atom_site_fract_y
_atom_site_fract_z
Li1 0.000 0.218 0.139
Ga1 0.000 0.083 0.585
Ga2 0.000 0.378 0.561
Ga3 0.000 0.463 0.250
Ir1 0.000 0.244 0.750
```


No. 12
Compound: LiGa3Ir
Source: Alexandria via LeMat-Bulk
Functional: GGA-PBE
Structure: relaxed

Properties
V in Å³/cell: 112.20
Energy of formation in meV per atom: -176
Excess energy over the best structure of this formula in the dataset in kcal/mol of atoms: 4.482

CIF file:
```
data_LiGa3Ir
_cell_length_a 4.823
_cell_length_b 4.823
_cell_length_c 4.823
_cell_angle_alpha 90.00
_cell_angle_beta 90.00
_cell_angle_gamma 90.00
_space_group_name_H-M_alt 'P m -3 m'
_space_group_IT_number 221
_space_group_name_Hall '-P 4 2 3'
loop_
_atom_site_label
_atom_site_fract_x
_atom_site_fract_y
_atom_site_fract_z
Li1 0.000 0.000 0.000
Ga1 0.000 0.500 0.500
Ir1 0.500 0.500 0.500
```


Question: The lowest energy of formation belongs to which entry?
Answer: LiGa4Ir2